A plane-wave DFT calculation with GGA-PBE was carried out for crystalline TbSmTmAg at its relaxed geometry.

The structure in CIF format:
```
data_TbSmTmAg
_chemical_formula_sum 'Tb4 Sm4 Tm4 Ag4'
_cell_length_a 7.6278
_cell_length_b 7.6278
_cell_length_c 7.6278
_cell_angle_alpha 90.00
_cell_angle_beta 90.00
_cell_angle_gamma 90.00
_space_group_name_H-M_alt 'F -4 3 m'
_space_group_IT_number 216
_space_group_name_Hall 'F -4 2 3'
loop_
_atom_site_label
_atom_site_type_symbol
_atom_site_fract_x
_atom_site_fract_y
_atom_site_fract_z
_atom_site_occupancy
Tb1 Tb 0.0000 0.0000 0.0000 1
Sm1 Sm 0.0000 0.0000 0.5000 1
Tm1 Tm 0.2500 0.2500 0.2500 1
Ag1 Ag 0.2500 0.2500 0.7500 1
```

Summary:
- energy above the most stable polymorph in this dataset (meV per atom) = 183
- total magnetization (μB per cell) = 0.00
- calculated volume (Å³/cell) = 443.8
- DFT formation energy (eV/atom) = 0.049



A plane-wave DFT calculation with GGA-PBE was carried out for crystalline TbSmYAg at its relaxed geometry.

The structure in CIF format:
```
data_TbSmYAg
_chemical_formula_sum 'Tb1 Sm1 Y1 Ag1'
_cell_length_a 3.6249
_cell_length_b 3.6249
_cell_length_c 8.7675
_cell_angle_alpha 90.00
_cell_angle_beta 90.00
_cell_angle_gamma 90.00
_space_group_name_H-M_alt 'P 4 m m'
_space_group_IT_number 99
loop_
_space_group_symop_operation_xyz
'x,y,z'
'-y,x,z'
'-x,-y,z'
'y,-x,z'
'-x,y,z'
'y,x,z'
'x,-y,z'
'-y,-x,z'
loop_
_atom_site_label
_atom_site_type_symbol
_atom_site_fract_x
_atom_site_fract_y
_atom_site_fract_z
_atom_site_occupancy
Tb1 Tb 0.0000 0.0000 0.0000 1
Sm1 Sm 0.5000 0.5000 0.2884 1
Y1 Y 0.0000 0.0000 0.5798 1
Ag1 Ag 0.5000 0.5000 0.7900 1
```

Summary:
- total magnetization (μB per cell) = 0.00
- calculated volume (Å³/cell) = 115.2
- DFT formation energy (eV/atom) = -0.134



A plane-wave DFT calculation with GGA-PBE was carried out for crystalline Sm8TcAg2 at its relaxed geometry.

The structure in CIF format:
```
data_Sm8TcAg2
_chemical_formula_sum 'Sm16 Tc2 Ag4'
_cell_length_a 8.0645
_cell_length_b 15.8045
_cell_length_c 6.3223
_cell_angle_alpha 90.00
_cell_angle_beta 126.27
_cell_angle_gamma 90.00
_space_group_name_H-M_alt 'C 1 m 1'
_space_group_IT_number 8
loop_
_space_group_symop_operation_xyz
'x,y,z'
'x,-y,z'
'x+1/2,y+1/2,z'
'x+1/2,-y+1/2,z'
loop_
_atom_site_label
_atom_site_type_symbol
_atom_site_fract_x
_atom_site_fract_y
_atom_site_fract_z
_atom_site_occupancy
Sm1 Sm 0.0000 0.0000 0.0000 1
Sm2 Sm 0.0044 0.3879 0.2280 1
Sm3 Sm 0.0392 0.1193 0.5669 1
Sm4 Sm 0.2251 0.3095 0.8980 1
Sm5 Sm 0.4504 0.0000 0.6645 1
Tc1 Tc 0.2701 0.5000 0.1735 1
Ag1 Ag 0.2450 0.2102 0.3578 1
```

Summary:
- energy above the most stable polymorph in this dataset (meV per atom) = 45
- total magnetization (μB per cell) = 0.00
- calculated volume (Å³/cell) = 649.6
- DFT formation energy (eV/atom) = -0.020



A plane-wave DFT calculation with GGA-PBE was carried out for crystalline Sm8TcAg2 at its relaxed geometry.

The structure in CIF format:
```
data_Sm8TcAg2
_chemical_formula_sum 'Sm16 Tc2 Ag4'
_cell_length_a 17.6194
_cell_length_b 5.3112
_cell_length_c 7.0485
_cell_angle_alpha 90.00
_cell_angle_beta 107.00
_cell_angle_gamma 90.00
_space_group_name_H-M_alt 'C 1 2/m 1'
_space_group_IT_number 12
loop_
_space_group_symop_operation_xyz
'x,y,z'
'-x,-y,-z'
'-x,y,-z'
'x,-y,z'
'x+1/2,y+1/2,z'
'-x+1/2,-y+1/2,-z'
'-x+1/2,y+1/2,-z'
'x+1/2,-y+1/2,z'
loop_
_atom_site_label
_atom_site_type_symbol
_atom_site_fract_x
_atom_site_fract_y
_atom_site_fract_z
_atom_site_occupancy
Sm1 Sm 0.0242 0.0000 0.2897 1
Sm2 Sm 0.0905 0.5000 0.9381 1
Sm3 Sm 0.1587 0.5000 0.4695 1
Sm4 Sm 0.1987 0.0000 0.8037 1
Tc1 Tc 0.0000 0.5000 0.5000 1
Ag1 Ag 0.1840 0.0000 0.2124 1
```

Summary:
- energy above the most stable polymorph in this dataset (meV per atom) = 0
- total magnetization (μB per cell) = 0.00
- calculated volume (Å³/cell) = 630.8
- DFT formation energy (eV/atom) = -0.065



A plane-wave DFT calculation with GGA-PBE was carried out for crystalline Sm3TcAg at its relaxed geometry.

The structure in CIF format:
```
data_Sm3TcAg
_chemical_formula_sum 'Sm12 Tc4 Ag4'
_cell_length_a 9.3110
_cell_length_b 7.9149
_cell_length_c 8.0661
_cell_angle_alpha 90.00
_cell_angle_beta 110.23
_cell_angle_gamma 90.00
_space_group_name_H-M_alt 'P 1 21/c 1'
_space_group_IT_number 14
loop_
_space_group_symop_operation_xyz
'x,y,z'
'-x,-y,-z'
'-x,y+1/2,-z+1/2'
'x,-y+1/2,z+1/2'
loop_
_atom_site_label
_atom_site_type_symbol
_atom_site_fract_x
_atom_site_fract_y
_atom_site_fract_z
_atom_site_occupancy
Sm1 Sm 0.0734 0.0040 0.2166 1
Sm2 Sm 0.3012 0.1787 0.6221 1
Sm3 Sm 0.3565 0.6801 0.4937 1
Tc1 Tc 0.4083 0.0259 0.3567 1
Ag1 Ag 0.0684 0.6688 0.0423 1
```

Summary:
- total magnetization (μB per cell) = 0.00
- calculated volume (Å³/cell) = 557.8
- DFT formation energy (eV/atom) = -0.007



A plane-wave DFT calculation with GGA-PBE was carried out for crystalline Sm4TcAg3 at its relaxed geometry.

The structure in CIF format:
```
data_Sm4TcAg3
_chemical_formula_sum 'Sm4 Tc1 Ag3'
_cell_length_a 3.5784
_cell_length_b 3.5784
_cell_length_c 15.2494
_cell_angle_alpha 90.00
_cell_angle_beta 90.00
_cell_angle_gamma 90.00
_space_group_name_H-M_alt 'P 4/m m m'
_space_group_IT_number 123
_space_group_name_Hall '-P 4 2'
loop_
_atom_site_label
_atom_site_type_symbol
_atom_site_fract_x
_atom_site_fract_y
_atom_site_fract_z
_atom_site_occupancy
Sm1 Sm 0.0000 0.0000 0.1095 1
Sm2 Sm 0.0000 0.0000 0.3721 1
Tc1 Tc 0.5000 0.5000 0.0000 1
Ag1 Ag 0.5000 0.5000 0.2428 1
Ag2 Ag 0.5000 0.5000 0.5000 1
```

Summary:
- total magnetization (μB per cell) = 0.00
- calculated volume (Å³/cell) = 195.3
- DFT formation energy (eV/atom) = -0.177



A plane-wave DFT calculation with GGA-PBE was carried out for crystalline SmThTcAg at its relaxed geometry.

The structure in CIF format:
```
data_SmThTcAg
_chemical_formula_sum 'Sm4 Th4 Tc4 Ag4'
_cell_length_a 7.2378
_cell_length_b 7.2378
_cell_length_c 7.2378
_cell_angle_alpha 90.00
_cell_angle_beta 90.00
_cell_angle_gamma 90.00
_space_group_name_H-M_alt 'F -4 3 m'
_space_group_IT_number 216
_space_group_name_Hall 'F -4 2 3'
loop_
_atom_site_label
_atom_site_type_symbol
_atom_site_fract_x
_atom_site_fract_y
_atom_site_fract_z
_atom_site_occupancy
Sm1 Sm 0.0000 0.0000 0.0000 1
Th1 Th 0.0000 0.0000 0.5000 1
Tc1 Tc 0.2500 0.2500 0.7500 1
Ag1 Ag 0.2500 0.2500 0.2500 1
```

Summary:
- total magnetization (μB per cell) = 0.00
- calculated volume (Å³/cell) = 379.2
- DFT formation energy (eV/atom) = -0.060



A plane-wave DFT calculation with GGA-PBE was carried out for crystalline SmYTcAg at its relaxed geometry.

The structure in CIF format:
```
data_SmYTcAg
_chemical_formula_sum 'Sm4 Y4 Tc4 Ag4'
_cell_length_a 7.1117
_cell_length_b 7.1117
_cell_length_c 7.1117
_cell_angle_alpha 90.00
_cell_angle_beta 90.00
_cell_angle_gamma 90.00
_space_group_name_H-M_alt 'F -4 3 m'
_space_group_IT_number 216
_space_group_name_Hall 'F -4 2 3'
loop_
_atom_site_label
_atom_site_type_symbol
_atom_site_fract_x
_atom_site_fract_y
_atom_site_fract_z
_atom_site_occupancy
Sm1 Sm 0.0000 0.0000 0.0000 1
Y1 Y 0.0000 0.0000 0.5000 1
Tc1 Tc 0.2500 0.2500 0.7500 1
Ag1 Ag 0.2500 0.2500 0.2500 1
```

Summary:
- total magnetization (μB per cell) = 0.00
- calculated volume (Å³/cell) = 359.7
- DFT formation energy (eV/atom) = -0.064



A plane-wave DFT calculation with GGA-PBE was carried out for crystalline Sm5AgTe5 at its relaxed geometry.

The structure in CIF format:
```
data_Sm5AgTe5
_chemical_formula_sum 'Sm10 Ag2 Te10'
_cell_length_a 13.9023
_cell_length_b 6.2807
_cell_length_c 8.8087
_cell_angle_alpha 90.00
_cell_angle_beta 108.63
_cell_angle_gamma 90.00
_space_group_name_H-M_alt 'C 1 2/m 1'
_space_group_IT_number 12
loop_
_space_group_symop_operation_xyz
'x,y,z'
'-x,-y,-z'
'-x,y,-z'
'x,-y,z'
'x+1/2,y+1/2,z'
'-x+1/2,-y+1/2,-z'
'-x+1/2,y+1/2,-z'
'x+1/2,-y+1/2,z'
loop_
_atom_site_label
_atom_site_type_symbol
_atom_site_fract_x
_atom_site_fract_y
_atom_site_fract_z
_atom_site_occupancy
Sm1 Sm 0.0000 0.0000 0.0000 1
Sm2 Sm 0.1645 0.5000 0.3341 1
Sm3 Sm 0.1655 0.5000 0.8333 1
Ag1 Ag 0.0000 0.5000 0.0000 1
Te1 Te 0.0000 0.5000 0.5000 1
Te2 Te 0.1635 0.0000 0.8268 1
Te3 Te 0.1674 0.0000 0.3364 1
```

Summary:
- total magnetization (μB per cell) = 0.00
- calculated volume (Å³/cell) = 728.8
- E_form (uncorrected) (kJ/mol of atoms) = -113.53



A plane-wave DFT calculation with GGA-PBE was carried out for crystalline SmAgTe at its relaxed geometry.

The structure in CIF format:
```
data_SmAgTe
_chemical_formula_sum 'Sm6 Ag6 Te6'
_cell_length_a 5.2302
_cell_length_b 5.2302
_cell_length_c 24.4359
_cell_angle_alpha 90.00
_cell_angle_beta 90.00
_cell_angle_gamma 120.00
_space_group_name_H-M_alt 'R -3 m'
_space_group_IT_number 166
_space_group_name_Hall '-R 3 2"'
loop_
_atom_site_label
_atom_site_type_symbol
_atom_site_fract_x
_atom_site_fract_y
_atom_site_fract_z
_atom_site_occupancy
Sm1 Sm 0.0000 0.0000 0.2406 1
Ag1 Ag 0.0000 0.0000 0.3633 1
Te1 Te 0.0000 0.0000 0.1095 1
```

Summary:
- total magnetization (μB per cell) = 0.00
- calculated volume (Å³/cell) = 578.9
- E_form (uncorrected) (kJ/mol of atoms) = -57.83



A plane-wave DFT calculation with GGA-PBE was carried out for crystalline Sm4AgTe5 at its relaxed geometry.

The structure in CIF format:
```
data_Sm4AgTe5
_chemical_formula_sum 'Sm8 Ag2 Te10'
_cell_length_a 4.4142
_cell_length_b 4.4142
_cell_length_c 31.6997
_cell_angle_alpha 90.00
_cell_angle_beta 90.00
_cell_angle_gamma 90.00
_space_group_name_H-M_alt 'I 4/m m m'
_space_group_IT_number 139
_space_group_name_Hall '-I 4 2'
loop_
_atom_site_label
_atom_site_type_symbol
_atom_site_fract_x
_atom_site_fract_y
_atom_site_fract_z
_atom_site_occupancy
Sm1 Sm 0.0000 0.0000 0.0971 1
Sm2 Sm 0.0000 0.0000 0.2954 1
Ag1 Ag 0.0000 0.0000 0.5000 1
Te1 Te 0.0000 0.0000 0.0000 1
Te2 Te 0.0000 0.0000 0.1968 1
Te3 Te 0.0000 0.0000 0.3981 1
```

Summary:
- total magnetization (μB per cell) = 0.00
- calculated volume (Å³/cell) = 617.7
- E_form (uncorrected) (kJ/mol of atoms) = -113.10



A plane-wave DFT calculation with GGA-PBE was carried out for crystalline Sm3Ag5Te12 at its relaxed geometry.

The structure in CIF format:
```
data_Sm3Ag5Te12
_chemical_formula_sum 'Sm24 Ag40 Te96'
_cell_length_a 17.3481
_cell_length_b 17.3481
_cell_length_c 17.3481
_cell_angle_alpha 90.00
_cell_angle_beta 90.00
_cell_angle_gamma 90.00
_space_group_name_H-M_alt 'I a -3 d'
_space_group_IT_number 230
_space_group_name_Hall '-I 4bd 2c 3'
loop_
_atom_site_label
_atom_site_type_symbol
_atom_site_fract_x
_atom_site_fract_y
_atom_site_fract_z
_atom_site_occupancy
Sm1 Sm 0.0000 0.2500 0.1250 1
Ag1 Ag 0.0000 0.0000 0.0000 1
Ag2 Ag 0.0000 0.2500 0.3750 1
Te1 Te 0.0194 0.0650 0.6509 1
```

Summary:
- total magnetization (μB per cell) = 0.00
- calculated volume (Å³/cell) = 5221.0
- E_form (uncorrected) (kJ/mol of atoms) = -38.81